Material: TeAs2Pb
Method: DFT, meta-GGA SCAN
State: single point on PBEsol structure

Calculated values
Its symmetry is P4/mmm (123). The value obtained for the total magnetization is 0.000 μB/atom. As for the calculated volume: 93 Å³/f.u. As for the energy relative to the elements, uncorrected: 34.2 kJ/mol of atoms. As for the energy above the most stable polymorph in this dataset: 0.246 eV/atom.

Cell and atoms, written as POSCAR:
```
TeAs2Pb
1.0
3.618 0.000 0.000
0.000 5.061 0.000
0.000 0.000 5.061
Pb As Te
1 2 1
direct
0.500 0.500 0.500 Pb
0.000 0.000 0.500 As
0.000 0.500 0.000 As
0.500 0.000 0.000 Te
```

Material: CdGaI2O
Method: DFT, meta-GGA SCAN
State: single point on PBEsol structure

Calculated values
Its symmetry is P4/mmm (123). The value obtained for the total magnetization is 0.193 μB/atom. As for the calculated volume: 142 Å³/f.u. As for the energy relative to the elements, uncorrected: -14.2 kJ/mol of atoms.

Cell and atoms, written as POSCAR:
```
CdGaI2O
1.0
4.112 0.000 0.000
0.000 5.876 0.000
0.000 0.000 5.876
I O Ga Cd
2 1 1 1
direct
0.000 0.000 0.500 I
0.000 0.500 0.000 I
0.500 0.000 0.000 O
0.500 0.500 0.500 Ga
0.000 0.000 0.000 Cd
```

Material: Li2NiO2
Method: DFT, meta-GGA SCAN
State: single point on PBEsol structure

Calculated values
Its symmetry is R-3m (166). The value obtained for the total magnetization is 0.394 μB/atom. As for the calculated volume: 49 Å³/f.u. As for the energy relative to the elements, uncorrected: -159.3 kJ/mol of atoms. As for the energy above the most stable polymorph in this dataset: 0.092 eV/atom.

Cell and atoms, written as POSCAR:
```
Li2NiO2
1.0
3.028 0.000 0.000
1.514 2.623 0.000
1.514 0.874 6.190
Ni O Li
1 2 2
direct
0.000 0.000 0.000 Ni
0.396 0.396 0.811 O
0.604 0.604 0.189 O
0.237 0.237 0.289 Li
0.763 0.763 0.711 Li
```

Material: Y5BiPd2
Method: DFT, meta-GGA SCAN
State: single point on PBEsol structure

Calculated values
Its symmetry is I4/mcm (140). The value obtained for the total magnetization is 0.000 μB/atom. The formation energy from the elements comes out at -834 meV/atom. As for the calculated volume: 202 Å³/f.u.

Cell and atoms, written as POSCAR:
```
Y5BiPd2
1.0
-6.986 3.304 -0.056
0.177 -8.676 -0.706
1.313 2.896 7.044
Y Bi Pd
10 2 4
direct
0.000 0.000 0.000 Y
0.500 0.000 0.500 Y
0.204 0.719 0.015 Y
0.796 0.281 0.985 Y
0.515 0.719 0.704 Y
0.704 0.719 0.204 Y
0.985 0.281 0.485 Y
0.485 0.281 0.296 Y
0.296 0.281 0.796 Y
0.015 0.719 0.515 Y
0.750 0.500 0.750 Bi
0.250 0.500 0.250 Bi
0.865 0.000 0.635 Pd
0.135 0.000 0.365 Pd
0.365 0.000 0.865 Pd
0.635 0.000 0.135 Pd
```

Material: ReAu2F
Method: DFT, meta-GGA SCAN
State: single point on PBEsol structure

Calculated values
Its symmetry is Fm-3m (225). The value obtained for the total magnetization is 0.398 μB/atom. As for the calculated volume: 60 Å³/f.u. As for the energy relative to the elements, uncorrected: 45.1 kJ/mol of atoms.

Cell and atoms, written as POSCAR:
```
ReAu2F
1.0
-2.499 -0.502 -3.570
-1.325 -4.004 -1.204
-4.217 -1.132 0.417
Re Au F
1 2 1
direct
0.500 0.500 0.500 Re
0.250 0.250 0.250 Au
0.750 0.750 0.750 Au
0.000 0.000 0.000 F
```

Material: Er3CrS6
Method: DFT, meta-GGA SCAN
State: single point on PBEsol structure

Calculated values
Its symmetry is Pnnm (58). The value obtained for the total magnetization is 0.300 μB/atom. As for the calculated volume: 187 Å³/f.u. As for the energy relative to the elements, uncorrected: -196.8 kJ/mol of atoms.

Cell and atoms, written as POSCAR:
```
Er3CrS6
1.0
-3.238 -1.700 -0.482
6.214 -10.729 -3.918
0.483 -5.094 14.717
Er Cr S
12 4 24
direct
0.000 0.241 0.597 Er
0.000 0.759 0.403 Er
0.500 0.741 0.903 Er
0.500 0.259 0.097 Er
0.500 0.180 0.852 Er
0.500 0.820 0.148 Er
0.000 0.680 0.648 Er
0.000 0.320 0.352 Er
0.500 0.948 0.721 Er
0.500 0.052 0.279 Er
0.000 0.448 0.779 Er
0.000 0.552 0.221 Er
0.000 0.000 0.500 Cr
0.500 0.500 0.000 Cr
0.000 0.000 0.000 Cr
0.500 0.500 0.500 Cr
0.000 0.181 0.980 S
0.000 0.819 0.020 S
0.500 0.681 0.520 S
0.500 0.319 0.480 S
0.500 0.976 0.902 S
0.500 0.024 0.098 S
0.000 0.476 0.598 S
0.000 0.524 0.402 S
0.000 0.102 0.745 S
0.000 0.898 0.255 S
0.500 0.602 0.755 S
0.500 0.398 0.245 S
0.000 0.810 0.790 S
0.000 0.190 0.210 S
0.500 0.310 0.710 S
0.500 0.690 0.290 S
0.000 0.419 0.076 S
0.000 0.581 0.924 S
0.500 0.919 0.424 S
0.500 0.081 0.576 S
0.500 0.622 0.108 S
0.500 0.378 0.892 S
0.000 0.122 0.392 S
0.000 0.878 0.608 S
```

Material: K3MgSn
Method: DFT, meta-GGA SCAN
State: single point on PBEsol structure

Calculated values
Its symmetry is Pm-3m (221). The value obtained for the total magnetization is 0.201 μB/atom. The formation energy from the elements comes out at 239 meV/atom. As for the calculated volume: 301 Å³/f.u.

Cell and atoms, written as POSCAR:
```
K3MgSn
1.0
-0.679 -3.845 -5.450
6.264 1.515 -1.849
2.292 -5.279 3.439
Mg K Sn
1 3 1
direct
0.500 0.500 0.500 Mg
0.000 0.500 0.000 K
0.000 0.000 0.500 K
0.500 0.000 0.000 K
0.000 0.000 0.000 Sn
```

Material: MnAl2Co
Method: DFT, meta-GGA SCAN
State: single point on PBEsol structure

Calculated values
Its symmetry is I4/mmm (139). The value obtained for the total magnetization is 0.404 μB/atom. The formation energy from the elements comes out at -433 meV/atom. As for the calculated volume: 47 Å³/f.u.

Cell and atoms, written as POSCAR:
```
MnAl2Co
1.0
3.997 0.000 0.000
-1.999 3.560 0.154
0.000 2.097 3.403
Mn Co Al
1 1 2
direct
0.500 0.000 0.500 Mn
0.000 0.000 0.000 Co
0.750 0.500 0.750 Al
0.250 0.500 0.250 Al
```

Material: ZnSi2Ag2
Method: DFT, meta-GGA SCAN
State: single point on PBEsol structure

Calculated values
Its symmetry is I4/mmm (139). The value obtained for the total magnetization is 0.000 μB/atom. As for the calculated volume: 83 Å³/f.u. As for the energy relative to the elements, uncorrected: 34.2 kJ/mol of atoms.

Cell and atoms, written as POSCAR:
```
ZnSi2Ag2
1.0
3.435 0.000 0.000
0.000 3.435 0.000
-1.718 -1.718 7.003
Zn Si Ag
1 2 2
direct
0.000 0.000 0.000 Zn
0.250 0.750 0.500 Si
0.750 0.250 0.500 Si
0.403 0.403 0.807 Ag
0.597 0.597 0.193 Ag
```

Material: BaMgIr
Method: DFT, meta-GGA SCAN
State: single point on PBEsol structure

Calculated values
Its symmetry is F-43m (216). The value obtained for the total magnetization is 0.000 μB/atom. The formation energy from the elements comes out at 1014 meV/atom. As for the calculated volume: 87 Å³/f.u.

Cell and atoms, written as POSCAR:
```
BaMgIr
1.0
-2.039 -1.866 -4.146
-0.997 -4.872 -0.311
-4.724 -1.584 0.042
Ba Ir Mg
1 1 1
direct
0.250 0.250 0.250 Ba
0.000 0.000 0.000 Ir
0.500 0.500 0.500 Mg
```

Material: ScTlOs2
Method: DFT, meta-GGA SCAN
State: single point on PBEsol structure

Calculated values
Its symmetry is I4/mmm (139). The value obtained for the total magnetization is 0.001 μB/atom. The formation energy from the elements comes out at 408 meV/atom. As for the calculated volume: 67 Å³/f.u.

Cell and atoms, written as POSCAR:
```
ScTlOs2
1.0
4.064 0.000 0.000
0.000 4.064 0.000
-2.032 -2.032 4.050
Os Sc Tl
2 1 1
direct
0.750 0.250 0.500 Os
0.250 0.750 0.500 Os
0.500 0.500 0.000 Sc
0.000 0.000 0.000 Tl
```

Material: MgIrRh
Method: DFT, meta-GGA SCAN
State: single point on PBEsol structure

Calculated values
Its symmetry is P3m1 (156). The value obtained for the total magnetization is 0.000 μB/atom. The formation energy from the elements comes out at -151 meV/atom. As for the calculated volume: 44 Å³/f.u.

Cell and atoms, written as POSCAR:
```
MgIrRh
1.0
2.754 0.000 0.000
-1.377 2.385 0.000
0.000 0.000 6.628
Ir Mg Rh
1 1 1
direct
0.000 0.000 0.005 Ir
0.333 0.667 0.664 Mg
0.667 0.333 0.330 Rh
```

Material: SrLiFe
Method: DFT, meta-GGA SCAN
State: single point on PBEsol structure

Calculated values
Its symmetry is I4mm (107). The value obtained for the total magnetization is 0.974 μB/atom. The formation energy from the elements comes out at 541 meV/atom. As for the calculated volume: 67 Å³/f.u.

Cell and atoms, written as POSCAR:
```
SrLiFe
1.0
3.473 0.000 0.000
0.000 3.473 0.000
-1.736 -1.736 5.579
Fe Li Sr
1 1 1
direct
0.031 0.031 0.063 Fe
0.625 0.625 0.251 Li
0.343 0.343 0.686 Sr
```

Material: HfPdF2
Method: DFT, meta-GGA SCAN
State: single point on PBEsol structure

Calculated values
Its symmetry is I-42d (122). The value obtained for the total magnetization is 0.000 μB/atom. As for the calculated volume: 57 Å³/f.u. As for the energy relative to the elements, uncorrected: -180.7 kJ/mol of atoms.

Cell and atoms, written as POSCAR:
```
HfPdF2
1.0
-3.908 0.506 0.528
-0.706 -1.862 -3.441
1.961 -5.625 4.938
Hf Pd F
2 2 4
direct
0.250 0.750 0.500 Hf
0.000 0.000 0.000 Hf
0.750 0.250 0.500 Pd
0.500 0.500 0.000 Pd
0.264 0.875 0.250 F
0.986 0.375 0.250 F
0.125 0.014 0.750 F
0.625 0.736 0.750 F
```

Material: NbBiC3
Method: DFT, meta-GGA SCAN
State: single point on PBEsol structure

Calculated values
Its symmetry is Pm-3m (221). The value obtained for the total magnetization is 0.000 μB/atom. The formation energy from the elements comes out at 1914 meV/atom. As for the calculated volume: 75 Å³/f.u.

Cell and atoms, written as POSCAR:
```
NbBiC3
1.0
4.213 0.000 0.000
0.000 4.213 0.000
0.000 0.000 4.213
C Nb Bi
3 1 1
direct
0.000 0.500 0.000 C
0.000 0.000 0.500 C
0.500 0.000 0.000 C
0.000 0.000 0.000 Nb
0.500 0.500 0.500 Bi
```

Material: ZnSI2
Method: DFT, meta-GGA SCAN
State: single point on PBEsol structure

Calculated values
Its symmetry is I-42d (122). The value obtained for the total magnetization is 0.500 μB/atom. As for the calculated volume: 118 Å³/f.u. As for the energy relative to the elements, uncorrected: 24.4 kJ/mol of atoms.

Cell and atoms, written as POSCAR:
```
ZnSI2
1.0
6.716 0.353 0.523
-2.742 6.141 -0.523
-2.742 -2.785 5.498
I Zn S
4 2 2
direct
0.048 0.673 0.125 I
0.952 0.077 0.625 I
0.452 0.375 0.327 I
0.548 0.875 0.923 I
0.000 0.000 0.000 Zn
0.500 0.750 0.250 Zn
0.000 0.500 0.500 S
0.500 0.250 0.750 S
```

Material: MnSe3
Method: DFT, meta-GGA SCAN
State: single point on PBEsol structure

Calculated values
Its symmetry is Pm-3m (221). The value obtained for the total magnetization is 1.209 μB/atom. As for the calculated volume: 77 Å³/f.u. As for the energy relative to the elements, uncorrected: 34.1 kJ/mol of atoms.

Cell and atoms, written as POSCAR:
```
MnSe3
1.0
4.245 0.000 0.000
0.000 4.245 0.000
0.000 0.000 4.245
Mn Se
1 3
direct
0.000 0.000 0.000 Mn
0.000 0.500 0.500 Se
0.500 0.000 0.500 Se
0.500 0.500 0.000 Se
```

Material: FeRe5
Method: DFT, meta-GGA SCAN
State: single point on PBEsol structure

Calculated values
Its symmetry is P4/mmm (123). The value obtained for the total magnetization is 0.388 μB/atom. The formation energy from the elements comes out at 107 meV/atom. As for the calculated volume: 83 Å³/f.u. As for the energy above the most stable polymorph in this dataset: 0.030 eV/atom.

Cell and atoms, written as POSCAR:
```
FeRe5
1.0
2.709 0.000 0.000
0.000 2.709 0.000
0.000 0.000 11.368
Re Fe
5 1
direct
0.000 0.000 0.849 Re
0.000 0.000 0.151 Re
0.500 0.500 0.672 Re
0.500 0.500 0.328 Re
0.000 0.000 0.500 Re
0.500 0.500 0.000 Fe
```

Material: ZnNi6Ir
Method: DFT, meta-GGA SCAN
State: single point on PBEsol structure

Calculated values
Its symmetry is Cmmm (65). The value obtained for the total magnetization is 0.596 μB/atom. The formation energy from the elements comes out at -54 meV/atom. As for the calculated volume: 89 Å³/f.u.

Cell and atoms, written as POSCAR:
```
ZnNi6Ir
1.0
6.136 -0.003 0.000
-2.045 5.786 0.000
0.000 0.000 10.016
Ir Ni Zn
4 24 4
direct
0.247 0.753 0.000 Ir
0.753 0.247 0.000 Ir
0.500 0.500 0.748 Ir
0.500 0.500 0.252 Ir
0.250 0.750 0.750 Ni
0.875 0.625 0.873 Ni
0.125 0.375 0.873 Ni
0.750 0.250 0.750 Ni
0.375 0.125 0.873 Ni
0.625 0.875 0.873 Ni
0.500 0.500 0.500 Ni
0.125 0.375 0.624 Ni
0.375 0.125 0.624 Ni
0.250 0.750 0.250 Ni
0.875 0.625 0.376 Ni
0.125 0.375 0.376 Ni
0.750 0.250 0.250 Ni
0.375 0.125 0.376 Ni
0.625 0.875 0.376 Ni
0.500 0.500 0.000 Ni
0.125 0.375 0.127 Ni
0.375 0.125 0.127 Ni
0.000 0.000 0.500 Ni
0.625 0.875 0.624 Ni
0.875 0.625 0.624 Ni
0.000 0.000 0.000 Ni
0.625 0.875 0.127 Ni
0.875 0.625 0.127 Ni
0.250 0.750 0.500 Zn
0.750 0.250 0.500 Zn
0.000 0.000 0.748 Zn
0.000 0.000 0.252 Zn
```

Material: NaReSi2Ge
Method: DFT, meta-GGA SCAN
State: single point on PBEsol structure

Calculated values
Its symmetry is P4/mmm (123). The value obtained for the total magnetization is 0.000 μB/atom. As for the calculated volume: 107 Å³/f.u. As for the energy relative to the elements, uncorrected: 32.8 kJ/mol of atoms.

Cell and atoms, written as POSCAR:
```
NaReSi2Ge
1.0
-1.480 4.316 1.161
-4.150 -0.872 -2.045
-1.709 -1.716 4.199
Re Ge Si Na
1 1 2 1
direct
0.000 0.000 0.000 Re
0.000 0.000 0.500 Ge
0.000 0.500 0.000 Si
0.500 0.000 0.000 Si
0.500 0.500 0.500 Na
```